1.
DFT (GGA-PBEsol) results for an optimized crystal structure of AuC.

Formation energy from the elements = 2001 meV per atom

abc: 4.2958 4.2958 4.2958
angles: 90.00 90.00 90.00
Closest atoms and distances in Å follow each position.
Sites, in units of the cell vectors:
Au  0.0000  0.0000  0.5000  4 C 2.15
Au  0.0000  0.5000  0.0000  4 C 2.15
Au  0.5000  0.0000  0.0000  4 C 2.15
C  0.0000  0.5000  0.5000  4 Au 2.15
C  0.5000  0.0000  0.5000  4 Au 2.15
C  0.5000  0.5000  0.0000  4 Au 2.15



2.
DFT (GGA-PBEsol) results for an optimized crystal structure of AuC3.

Formation energy from the elements = 2116 meV per atom

abc: 2.5775 2.5775 7.7264
angles: 90.00 90.00 120.00
Closest atoms and distances in Å follow each position.
Sites, in units of the cell vectors:
Au  0.0000  0.0000  0.0000  6 Au 2.58
C  0.0000  0.0000  0.5000  6 C 1.70
C  0.3333  0.6667  0.3944  4 C 1.63-1.70
C  0.3333  0.6667  0.6056  4 C 1.63-1.70



3.
DFT (GGA-PBEsol) results for an optimized crystal structure of AuC5.

Formation energy from the elements = 3018 meV per atom

abc: 4.7595 4.7595 2.4576
angles: 90.00 90.00 120.00
Closest atoms and distances in Å follow each position.
Sites, in units of the cell vectors:
Au  0.0000  0.0000  0.0000  2 Au 2.46, 18 C 2.68-2.75
C  0.0000  0.5000  0.5000  4 C 1.84
C  0.3333  0.6667  0.0000  6 C 1.84
C  0.5000  0.0000  0.5000  4 C 1.84
C  0.5000  0.5000  0.5000  4 C 1.84
C  0.6667  0.3333  0.0000  6 C 1.84



4.
DFT (GGA-PBEsol) results for an optimized crystal structure of AuC3.

Formation energy from the elements = 3463 meV per atom

abc: 3.8882 3.8882 3.8882
angles: 123.62 123.62 83.83
Closest atoms and distances in Å follow each position.
Sites, in units of the cell vectors:
Au  0.0000  0.0000  0.0000  12 C 2.34-2.60
C  0.2500  0.7500  0.5000  8 C 2.34-2.60, 4 Au 2.34
C  0.5000  0.5000  0.0000  8 C 2.34, 4 Au 2.60
C  0.7500  0.2500  0.5000  8 C 2.34-2.60, 4 Au 2.34